Record 1
# CuSF2 | Alexandria via LeMat-Bulk | SCAN | PBEsol geometry
# uncorrected formation energy: -0.44 eV per atom
# offset from the most stable computed form: 0.00 eV per formula unit
data_CuSF2
_symmetry_space_group_name_H-M 'R -3 m'
_symmetry_Int_Tables_number 166
_symmetry_space_group_name_Hall '-R 3 2"'
_cell_length_a 2.6812
_cell_length_b 2.6812
_cell_length_c 22.8607
_cell_angle_alpha 90.00
_cell_angle_beta 90.00
_cell_angle_gamma 120.00
loop_
_atom_site_label
_atom_site_type_symbol
_atom_site_fract_x
_atom_site_fract_y
_atom_site_fract_z
_atom_site_occupancy
Cu1 Cu 0.0000 0.0000 0.0000 1
S1 S 0.0000 0.0000 0.5000 1
F1 F 0.0000 0.0000 0.0777 1

Record 2
# Ba5Bi3O11 | Alexandria via LeMat-Bulk | SCAN | PBEsol geometry
# uncorrected formation energy: -2.02 eV per atom
data_Ba5Bi3O11
_symmetry_space_group_name_H-M 'A m m 2'
_symmetry_Int_Tables_number 38
_cell_length_a 9.106
_cell_length_b 8.746
_cell_length_c 8.846
_cell_angle_alpha 90.00
_cell_angle_beta 90.00
_cell_angle_gamma 90.00
loop_
_symmetry_equiv_pos_as_xyz
'x,y,z'
'-x,-y,z'
'-x,y,z'
'x,-y,z'
'x,y+1/2,z+1/2'
'-x,-y+1/2,z+1/2'
'-x,y+1/2,z+1/2'
'x,-y+1/2,z+1/2'
loop_
_atom_site_label
_atom_site_type_symbol
_atom_site_fract_x
_atom_site_fract_y
_atom_site_fract_z
_atom_site_occupancy
Ba1 Ba 0.000 0.000 0.000 1
Ba2 Ba 0.277 0.246 0.275 1
Bi1 Bi 0.000 0.000 0.492 1
Bi2 Bi 0.500 0.000 0.025 1
Bi3 Bi 0.500 0.000 0.520 1
O1 O 0.000 0.000 0.727 1
O2 O 0.000 0.213 0.367 1
O3 O 0.249 0.000 0.488 1
O4 O 0.266 0.000 0.047 1
O5 O 0.500 0.000 0.269 1
O6 O 0.500 0.000 0.780 1
O7 O 0.500 0.245 0.015 1

Record 3
# Fe3Co5 | Alexandria via LeMat-Bulk | SCAN | PBEsol geometry
# energy relative to the elements: -0.1122 eV per atom
data_Fe3Co5
_symmetry_space_group_name_H-M 'I 4 m m'
_symmetry_Int_Tables_number 107
_symmetry_space_group_name_Hall 'I 4 -2'
_cell_length_a 3.916
_cell_length_b 3.916
_cell_length_c 11.245
_cell_angle_alpha 90.00
_cell_angle_beta 90.00
_cell_angle_gamma 90.00
loop_
_atom_site_label
_atom_site_type_symbol
_atom_site_fract_x
_atom_site_fract_y
_atom_site_fract_z
_atom_site_occupancy
Fe1 Fe 0.000 0.000 0.000 1
Fe2 Fe 0.000 0.500 0.129 1
Co1 Co 0.000 0.000 0.251 1
Co2 Co 0.000 0.000 0.505 1
Co3 Co 0.000 0.000 0.750 1
Co4 Co 0.000 0.500 0.379 1

Record 4
# RuAuCl2 | Alexandria via LeMat-Bulk | SCAN | PBEsol geometry
# uncorrected formation energy: 0.55 eV per atom
# offset from the most stable computed form: 2.21 eV per formula unit
data_RuAuCl2
_symmetry_space_group_name_H-M 'P m m m'
_symmetry_Int_Tables_number 47
_cell_length_a 2.967
_cell_length_b 4.101
_cell_length_c 5.611
_cell_angle_alpha 90.00
_cell_angle_beta 90.00
_cell_angle_gamma 90.00
loop_
_symmetry_equiv_pos_as_xyz
'x,y,z'
'-x,-y,-z'
'-x,-y,z'
'x,y,-z'
'x,-y,-z'
'-x,y,z'
'-x,y,-z'
'x,-y,z'
loop_
_atom_site_label
_atom_site_type_symbol
_atom_site_fract_x
_atom_site_fract_y
_atom_site_fract_z
_atom_site_occupancy
Ru1 Ru 0.000 0.000 0.000 1
Au1 Au 0.500 0.000 0.500 1
Cl1 Cl 0.000 0.500 0.500 1
Cl2 Cl 0.500 0.500 0.000 1

Record 5
# AlOsAu2 | Alexandria via LeMat-Bulk | SCAN | PBEsol geometry
# energy relative to the elements: 0.1508 eV per atom
data_AlOsAu2
_symmetry_space_group_name_H-M 'C 1 2/m 1'
_symmetry_Int_Tables_number 12
_cell_length_a 5.379
_cell_length_b 9.765
_cell_length_c 2.795
_cell_angle_alpha 90.00
_cell_angle_beta 120.40
_cell_angle_gamma 90.00
loop_
_symmetry_equiv_pos_as_xyz
'x,y,z'
'-x,-y,-z'
'-x,y,-z'
'x,-y,z'
'x+1/2,y+1/2,z'
'-x+1/2,-y+1/2,-z'
'-x+1/2,y+1/2,-z'
'x+1/2,-y+1/2,z'
loop_
_atom_site_label
_atom_site_type_symbol
_atom_site_fract_x
_atom_site_fract_y
_atom_site_fract_z
_atom_site_occupancy
Al1 Al 0.000 0.000 0.000 1
Os1 Os 0.000 0.500 0.000 1
Au1 Au 0.250 0.250 0.500 1

Record 6
# K2TaSeO | Alexandria via LeMat-Bulk | SCAN | PBEsol geometry
# uncorrected formation energy: 0.52 eV per atom
data_K2TaSeO
_symmetry_space_group_name_H-M 'P 4/m m m'
_symmetry_Int_Tables_number 123
_symmetry_space_group_name_Hall '-P 4 2'
_cell_length_a 6.634
_cell_length_b 6.634
_cell_length_c 4.805
_cell_angle_alpha 90.00
_cell_angle_beta 90.00
_cell_angle_gamma 90.00
loop_
_atom_site_label
_atom_site_type_symbol
_atom_site_fract_x
_atom_site_fract_y
_atom_site_fract_z
_atom_site_occupancy
K1 K 0.000 0.500 0.000 1
Ta1 Ta 0.000 0.000 0.000 1
Se1 Se 0.000 0.000 0.500 1
O1 O 0.500 0.500 0.500 1

Record 7
# MgPt2Rh | Alexandria via LeMat-Bulk | SCAN | PBEsol geometry
# energy relative to the elements: -0.5052 eV per atom
data_MgPt2Rh
_symmetry_space_group_name_H-M 'P 1 2/m 1'
_symmetry_Int_Tables_number 10
_cell_length_a 4.699
_cell_length_b 2.785
_cell_length_c 4.701
_cell_angle_alpha 90.00
_cell_angle_beta 107.53
_cell_angle_gamma 90.00
loop_
_symmetry_equiv_pos_as_xyz
'x,y,z'
'-x,-y,-z'
'-x,y,-z'
'x,-y,z'
loop_
_atom_site_label
_atom_site_type_symbol
_atom_site_fract_x
_atom_site_fract_y
_atom_site_fract_z
_atom_site_occupancy
Mg1 Mg 0.000 0.000 0.000 1
Pt1 Pt 0.500 0.000 0.500 1
Pt2 Pt 0.500 0.500 0.000 1
Rh1 Rh 0.000 0.500 0.500 1

Record 8
# TlGaAgO2 | Alexandria via LeMat-Bulk | SCAN | PBEsol geometry
# uncorrected formation energy: 0.18 eV per atom
data_TlGaAgO2
_symmetry_space_group_name_H-M 'P 4/m m m'
_symmetry_Int_Tables_number 123
_symmetry_space_group_name_Hall '-P 4 2'
_cell_length_a 4.163
_cell_length_b 4.163
_cell_length_c 4.854
_cell_angle_alpha 90.00
_cell_angle_beta 90.00
_cell_angle_gamma 90.00
loop_
_atom_site_label
_atom_site_type_symbol
_atom_site_fract_x
_atom_site_fract_y
_atom_site_fract_z
_atom_site_occupancy
Tl1 Tl 0.000 0.000 0.000 1
Ga1 Ga 0.500 0.500 0.000 1
Ag1 Ag 0.500 0.500 0.500 1
O1 O 0.000 0.500 0.500 1

Record 9
# TaMoRu2 | Alexandria via LeMat-Bulk | SCAN | PBEsol geometry
# offset from the most stable computed form: 0.00 eV per formula unit
# energy relative to the elements: -0.0889 eV per atom
data_TaMoRu2
_symmetry_space_group_name_H-M 'C m m m'
_symmetry_Int_Tables_number 65
_symmetry_space_group_name_Hall '-C 2 2'
_cell_length_a 5.733
_cell_length_b 7.156
_cell_length_c 2.907
_cell_angle_alpha 90.00
_cell_angle_beta 90.00
_cell_angle_gamma 90.00
loop_
_atom_site_label
_atom_site_type_symbol
_atom_site_fract_x
_atom_site_fract_y
_atom_site_fract_z
_atom_site_occupancy
Ta1 Ta 0.000 0.000 0.000 1
Mo1 Mo 0.000 0.500 0.000 1
Ru1 Ru 0.250 0.250 0.500 1

Record 10
# Y11Sn10 | Alexandria via LeMat-Bulk | SCAN | PBEsol geometry
# energy relative to the elements: -0.9101 eV per atom
data_Y11Sn10
_symmetry_space_group_name_H-M 'I 4/m m m'
_symmetry_Int_Tables_number 139
_symmetry_space_group_name_Hall '-I 4 2'
_cell_length_a 11.485
_cell_length_b 11.485
_cell_length_c 16.819
_cell_angle_alpha 90.00
_cell_angle_beta 90.00
_cell_angle_gamma 90.00
loop_
_atom_site_label
_atom_site_type_symbol
_atom_site_fract_x
_atom_site_fract_y
_atom_site_fract_z
_atom_site_occupancy
Y1 Y 0.000 0.000 0.167 1
Y2 Y 0.000 0.251 0.312 1
Y3 Y 0.000 0.331 0.102 1
Y4 Y 0.174 0.174 0.500 1
Sn1 Sn 0.000 0.000 0.389 1
Sn2 Sn 0.000 0.356 0.500 1
Sn3 Sn 0.000 0.500 0.250 1
Sn4 Sn 0.129 0.129 0.000 1
Sn5 Sn 0.206 0.206 0.176 1

Record 11
# KGaSb4 | Alexandria via LeMat-Bulk | SCAN | PBEsol geometry
# uncorrected formation energy: -0.25 eV per atom
data_KGaSb4
_symmetry_space_group_name_H-M 'P n m a'
_symmetry_Int_Tables_number 62
_cell_length_a 10.241
_cell_length_b 4.210
_cell_length_c 17.744
_cell_angle_alpha 90.00
_cell_angle_beta 90.00
_cell_angle_gamma 90.00
loop_
_symmetry_equiv_pos_as_xyz
'x,y,z'
'-x,-y,-z'
'-x+1/2,-y,z+1/2'
'x+1/2,y,-z+1/2'
'x+1/2,-y+1/2,-z+1/2'
'-x+1/2,y+1/2,z+1/2'
'-x,y+1/2,-z'
'x,-y+1/2,z'
loop_
_atom_site_label
_atom_site_type_symbol
_atom_site_fract_x
_atom_site_fract_y
_atom_site_fract_z
_atom_site_occupancy
K1 K 0.180 0.250 0.066 1
Ga1 Ga 0.186 0.750 0.370 1
Sb1 Sb 0.036 0.250 0.551 1
Sb2 Sb 0.069 0.750 0.750 1
Sb3 Sb 0.118 0.750 0.226 1
Sb4 Sb 0.165 0.750 0.900 1

Record 12
# MgSbAs2 | Alexandria via LeMat-Bulk | SCAN | PBEsol geometry
# uncorrected formation energy: -0.05 eV per atom
# offset from the most stable computed form: 0.64 eV per formula unit
data_MgSbAs2
_symmetry_space_group_name_H-M 'I m m 2'
_symmetry_Int_Tables_number 44
_cell_length_a 3.787
_cell_length_b 4.109
_cell_length_c 11.082
_cell_angle_alpha 90.00
_cell_angle_beta 90.00
_cell_angle_gamma 90.00
loop_
_symmetry_equiv_pos_as_xyz
'x,y,z'
'-x,-y,z'
'-x,y,z'
'x,-y,z'
'x+1/2,y+1/2,z+1/2'
'-x+1/2,-y+1/2,z+1/2'
'-x+1/2,y+1/2,z+1/2'
'x+1/2,-y+1/2,z+1/2'
loop_
_atom_site_label
_atom_site_type_symbol
_atom_site_fract_x
_atom_site_fract_y
_atom_site_fract_z
_atom_site_occupancy
Mg1 Mg 0.000 0.000 0.000 1
Sb1 Sb 0.000 0.500 0.227 1
As1 As 0.000 0.000 0.527 1
As2 As 0.000 0.500 0.824 1

Please write out number 6 again, unchanged.
# K2TaSeO | Alexandria via LeMat-Bulk | SCAN | PBEsol geometry
# uncorrected formation energy: 0.52 eV per atom
data_K2TaSeO
_symmetry_space_group_name_H-M 'P 4/m m m'
_symmetry_Int_Tables_number 123
_symmetry_space_group_name_Hall '-P 4 2'
_cell_length_a 6.634
_cell_length_b 6.634
_cell_length_c 4.805
_cell_angle_alpha 90.00
_cell_angle_beta 90.00
_cell_angle_gamma 90.00
loop_
_atom_site_label
_atom_site_type_symbol
_atom_site_fract_x
_atom_site_fract_y
_atom_site_fract_z
_atom_site_occupancy
K1 K 0.000 0.500 0.000 1
Ta1 Ta 0.000 0.000 0.000 1
Se1 Se 0.000 0.000 0.500 1
O1 O 0.500 0.500 0.500 1